Record 1
14
Lattice="7.900 0.000 0.198 0.000 8.413 0.000 -2.845 0.000 9.047" Properties=species:S:1:pos:R:3 comment="KNaHgI4 | Alexandria via LeMat-Bulk | GGA-PBE | relaxed" magnetic_moment_mub_per_cell=0.000 energy_ev_per_atom=-2.154 e_form_raw_ev_per_atom=-0.88 vol_a3_per_atom=43.3 sg="P2_1/m, No. 11" pbc="T T T"
Hg 4.102 2.103 6.260
I 7.038 4.150 2.629
K 1.480 2.103 0.468
I -1.983 8.357 6.617
I 3.010 2.103 3.670
I 7.038 0.056 2.629
I -1.983 4.263 6.617
I 2.045 6.310 5.575
K 3.575 6.310 8.777
Na 4.837 6.310 4.037
I 1.917 2.103 8.067
I 3.138 6.310 1.178
Na 0.218 2.103 5.208
Hg 0.953 6.310 2.985

=====

Record 2
18
Lattice="-0.853 -4.334 1.453 2.673 -1.643 -10.773 14.275 -1.543 3.777" Properties=species:S:1:pos:R:3 comment="K2NaHgI5 | Alexandria via LeMat-Bulk | GGA-PBE | relaxed" magnetic_moment_mub_per_cell=0.000 energy_ev_per_atom=-2.309 e_form_raw_ev_per_atom=-1.02 vol_a3_per_atom=42.1 sg="Cmc2_1, No. 36" pbc="T T T"
I 10.966 -3.312 -3.442
I 13.139 -4.972 -7.119
I 6.717 -2.960 -4.887
K 10.369 -2.080 -0.116
Na 8.457 -5.171 -3.018
I 9.337 -6.481 -6.410
I 0.769 -0.392 -0.719
I 3.348 -2.591 1.679
Hg 8.070 -4.003 -7.204
K 12.993 -6.247 -3.566
K 3.844 -5.237 -5.926
I 7.448 -4.052 -0.272
I 12.861 -4.937 0.265
K 5.217 -1.502 -1.418
I 1.682 -2.716 -7.114
I 2.970 -3.975 -2.673
Na 1.419 -1.678 -4.171
Hg 13.085 -4.064 2.999

=====

Record 3
5
Lattice="6.157 0.000 0.000 0.000 6.157 0.000 0.000 0.000 5.747" Properties=species:S:1:pos:R:3 comment="KNaHgI2 | Alexandria via LeMat-Bulk | GGA-PBE | relaxed" magnetic_moment_mub_per_cell=0.000 energy_ev_per_atom=-2.076 e_form_raw_ev_per_atom=-0.91 vol_a3_per_atom=43.6 sg="P4/mmm, No. 123" pbc="T T T"
I 3.079 0.000 0.000
I 0.000 3.079 0.000
Hg 0.000 0.000 2.873
K 3.079 3.079 2.873
Na 0.000 0.000 0.000

=====

Record 4
16
Lattice="6.231 0.000 0.000 3.115 8.281 0.000 3.115 0.000 14.301" Properties=species:S:1:pos:R:3 comment="K2NaHgI4 | Alexandria via LeMat-Bulk | GGA-PBE | relaxed" magnetic_moment_mub_per_cell=0.000 energy_ev_per_atom=-2.185 e_form_raw_ev_per_atom=-0.93 vol_a3_per_atom=46.1 sg="Fddd, No. 70" pbc="T T T"
I 2.964 2.095 5.391
K 7.788 4.140 12.209
K 3.115 0.000 9.243
I 4.824 2.045 1.759
Hg 3.115 0.000 0.000
Hg 4.673 4.140 7.151
I 11.055 6.235 12.542
Na 7.788 4.140 7.151
I 6.382 2.095 8.910
I 6.382 6.186 5.391
I 9.195 6.186 8.910
K 6.231 0.000 5.058
I 4.522 6.235 1.759
Na 0.000 0.000 0.000
I 4.522 2.045 12.542
K 7.788 4.140 2.093

=====

Record 5
10
Lattice="-6.484 -4.836 -0.614 4.458 1.664 -6.572 7.678 -4.017 4.189" Properties=species:S:1:pos:R:3 comment="KNaHg2I6 | Alexandria via LeMat-Bulk | GGA-PBE | relaxed" magnetic_moment_mub_per_cell=0.000 energy_ev_per_atom=-1.938 e_form_raw_ev_per_atom=-0.71 vol_a3_per_atom=47.9 sg="P1, No. 1" pbc="T T T"
I 3.003 -5.983 -1.382
I 5.714 -3.334 1.539
Hg 3.589 -5.056 1.153
Na 5.544 -7.134 -3.052
I 6.375 -4.003 -3.305
I -1.077 -3.031 0.108
I -0.385 -3.636 -4.569
K 5.956 -1.127 -1.246
I 2.431 -0.945 -1.795
Hg 1.786 -1.952 -4.286

=====

Record 6
20
Lattice="-6.679 1.613 -7.820 -4.399 -7.454 5.785 -0.575 8.604 5.831" Properties=species:S:1:pos:R:3 comment="KNa3Hg4I12 | Alexandria via LeMat-Bulk | GGA-PBE | relaxed" magnetic_moment_mub_per_cell=0.000 energy_ev_per_atom=-1.905 e_form_raw_ev_per_atom=-0.66 vol_a3_per_atom=49.4 sg="R32, No. 155" pbc="T T T"
Na -5.656 -2.455 -1.716
Hg -7.498 -5.639 1.878
I -5.446 -0.130 4.167
Hg -6.824 5.346 -4.050
I -5.819 6.721 -1.883
I -6.472 -4.688 4.253
I -8.231 -1.373 -3.480
Na -3.314 5.467 -0.294
I -3.432 6.131 5.708
K 0.000 0.000 0.000
I -7.983 -4.315 -0.491
I -4.928 -2.190 7.258
Hg -3.157 4.439 7.866
I -3.748 1.756 8.090
I -6.845 0.216 -0.379
I -4.320 7.708 1.916
I -5.189 4.060 1.906
I -7.506 2.686 -4.290
Hg -5.826 1.382 1.898
Na -2.683 -0.248 5.805

=====

Record 7
5
Lattice="-2.969 -2.343 -4.596 6.370 -3.325 -2.419 -1.267 -4.808 3.270" Properties=species:S:1:pos:R:3 comment="KNa2HgI | Alexandria via LeMat-Bulk | GGA-PBE | relaxed" magnetic_moment_mub_per_cell=0.000 energy_ev_per_atom=-1.439 e_form_raw_ev_per_atom=-0.32 vol_a3_per_atom=53.7 sg="P4/mmm, No. 123" pbc="T T T"
Hg 3.185 -1.662 -1.210
Na -0.634 -2.404 1.635
Na -1.484 -1.172 -2.298
I 0.000 0.000 0.000
K 1.067 -5.238 -1.872

=====

Record 8
20
Lattice="8.866 0.336 0.349 3.267 10.974 -1.243 3.267 -1.649 10.920" Properties=species:S:1:pos:R:3 comment="KNa2HgI6 | Alexandria via LeMat-Bulk | GGA-PBE | relaxed" magnetic_moment_mub_per_cell=2.021 energy_ev_per_atom=-2.140 e_form_raw_ev_per_atom=-0.81 vol_a3_per_atom=50.8 sg="C2/c, No. 15" pbc="T T T"
I 7.991 0.855 2.321
I 6.477 4.689 3.149
I 11.842 7.541 9.260
Na 7.762 2.471 5.008
Na 3.329 4.745 2.480
I 7.409 8.806 7.705
Na 7.639 7.190 5.018
I 10.910 3.142 4.977
I 3.151 7.033 0.402
Hg 5.484 0.417 9.098
I 3.558 2.120 0.766
I 7.584 0.309 7.218
Hg 9.917 9.244 0.928
I 8.924 4.972 6.876
I 12.250 2.628 9.624
I 7.817 9.352 2.808
K 5.484 9.773 0.082
K 9.917 -0.112 9.943
I 4.490 6.519 5.049
Na 12.072 4.916 7.546

=====

Record 9
15
Lattice="-5.344 5.471 -5.532 -3.635 -3.728 7.876 6.577 7.218 0.786" Properties=species:S:1:pos:R:3 comment="K3Na3HgI8 | Alexandria via LeMat-Bulk | GGA-PBE | relaxed" magnetic_moment_mub_per_cell=0.000 energy_ev_per_atom=-2.459 e_form_raw_ev_per_atom=-1.13 vol_a3_per_atom=41.9 sg="R-3m, No. 166" pbc="T T T"
Na 1.471 1.745 4.331
I 1.798 4.687 2.899
I 0.518 3.359 -1.003
I -2.920 5.603 4.134
I -0.954 7.489 0.276
I -1.447 1.473 2.855
K -4.489 0.872 1.172
I -0.114 2.730 7.039
I -4.200 4.274 0.232
Na -1.201 4.481 1.566
K -1.817 -1.864 3.938
I -2.287 6.232 -3.907
K 0.000 0.000 0.000
Na 0.617 6.345 -2.373
Hg 3.288 3.609 0.393

=====

Record 10
18
Lattice="-4.184 -3.094 6.907 8.423 -1.653 -1.052 3.039 11.140 6.832" Properties=species:S:1:pos:R:3 comment="KNbHgI6 | Alexandria via LeMat-Bulk | GGA-PBE | relaxed" magnetic_moment_mub_per_cell=0.211 energy_ev_per_atom=-2.876 e_form_raw_ev_per_atom=-0.57 vol_a3_per_atom=48.3 sg="P-31c, No. 163" pbc="T T T"
I 8.334 4.394 5.681
I 2.195 0.278 8.364
K 4.981 0.651 3.309
I -0.763 0.050 3.638
Nb 0.778 0.171 5.962
I -0.624 -2.026 6.961
I 7.903 8.418 5.726
I 2.305 2.305 5.010
Nb 6.500 6.221 6.725
I 8.041 6.342 9.049
K 2.298 5.741 9.378
Hg 0.000 0.000 0.000
I 4.667 7.971 7.894
I 2.611 -1.579 4.793
I 5.083 6.114 4.323
I -1.056 1.998 7.006
Hg 1.520 5.570 3.416
I 4.974 4.087 7.677

=====

Record 11
10
Lattice="-2.791 -1.840 8.420 -3.160 -4.839 -6.976 7.925 -1.468 -2.570" Properties=species:S:1:pos:R:3 comment="KNpHg2I6 | Alexandria via LeMat-Bulk | GGA-PBE | relaxed" magnetic_moment_mub_per_cell=1.957 energy_ev_per_atom=-3.047 e_form_raw_ev_per_atom=-0.65 vol_a3_per_atom=47.2 sg="R-3, No. 148" pbc="T T T"
I 1.363 -5.773 0.656
I 1.373 -6.452 -3.488
I 0.331 -2.282 -1.708
K -0.548 -4.947 3.684
Hg 4.564 -3.997 0.710
I 0.321 -1.602 2.436
Hg -2.870 -4.057 -1.763
I -3.234 -5.915 1.370
Np 1.834 -8.101 -1.089
I 4.929 -2.140 -2.423